<A>
Density functional theory data (PBE) for an optimized crystal structure of CePm6Y.

abc: 6.5861 6.8912 6.9708
angles: 119.32 99.74 91.04
Fractional positions:
Ce 0.0000 0.0000 0.0000
Pm 0.2287 0.9000 0.4752
Pm 0.2497 0.4479 0.0012
Pm 0.2660 0.4269 0.5228
Pm 0.7340 0.5731 0.4772
Pm 0.7503 0.5521 0.9988
Pm 0.7713 0.1000 0.5248
Y 0.5000 0.0000 0.0000

Calculated values
Space group: P-1

<B>
Density functional theory data (PBE) for an optimized crystal structure of CePm6Y.

abc: 5.1285 5.1285 10.2472
angles: 90.00 90.00 90.00
Fractional positions:
Ce 0.0000 0.0000 0.0000
Pm 0.0000 0.5000 0.2478
Pm 0.0000 0.5000 0.7522
Pm 0.5000 0.0000 0.2478
Pm 0.5000 0.0000 0.7522
Pm 0.5000 0.5000 0.0000
Pm 0.5000 0.5000 0.5000
Y 0.0000 0.0000 0.5000

Calculated values
Space group: P4/mmm

Of them, <A> has the lowest stability.

<A>
Density functional theory data (PBE) for an optimized crystal structure of CePmZn4.

abc: 8.2230 8.2230 8.2230
angles: 150.52 150.52 42.18
Fractional positions:
Ce 0.0000 0.0000 0.0000
Pm 0.2500 0.7500 0.5000
Zn 0.4176 0.4176 0.0000
Zn 0.5824 0.5824 0.0000
Zn 0.6682 0.1682 0.5000
Zn 0.8318 0.3318 0.5000

Calculated values
Space group: I-4m2

<B>
Density functional theory data (PBE) for an optimized crystal structure of CePmZn4.

abc: 5.5251 5.5251 5.5251
angles: 60.00 60.00 60.00
Fractional positions:
Ce 0.0000 0.0000 0.0000
Pm 0.2500 0.2500 0.2500
Zn 0.1261 0.6246 0.6246
Zn 0.6246 0.1261 0.6246
Zn 0.6246 0.6246 0.1261
Zn 0.6246 0.6246 0.6246

Calculated values
Space group: F-43m

Of them, <A> has the lowest stability.

<A>
Density functional theory data (PBE) for an optimized crystal structure of CePm2Zn.

abc: 3.6122 3.6122 8.5591
angles: 90.00 90.00 90.00
Fractional positions:
Ce 0.0000 0.0000 0.0000
Pm 0.5000 0.5000 0.2843
Pm 0.5000 0.5000 0.7157
Zn 0.0000 0.0000 0.5000

Calculated values
Space group: P4/mmm

<B>
Density functional theory data (PBE) for an optimized crystal structure of CePm2Zn.

abc: 10.7804 10.7804 10.7804
angles: 19.17 19.17 19.17
Fractional positions:
Ce 0.0000 0.0000 0.0000
Pm 0.2393 0.2393 0.2393
Pm 0.4267 0.4267 0.4267
Zn 0.8333 0.8333 0.8333

Calculated values
Space group: R3m

<C>
Density functional theory data (PBE) for an optimized crystal structure of CePm2Zn.

abc: 12.0206 12.0206 12.0206
angles: 16.57 16.57 16.57
Fractional positions:
Ce 0.0000 0.0000 0.0000
Pm 0.4130 0.4130 0.4130
Pm 0.5870 0.5870 0.5870
Zn 0.5000 0.5000 0.5000

Calculated values
Space group: R-3m

<D>
Density functional theory data (PBE) for an optimized crystal structure of CePm2Zn.

abc: 5.3324 5.3324 5.3324
angles: 60.00 60.00 60.00
Fractional positions:
Ce 0.0000 0.0000 0.0000
Pm 0.2500 0.2500 0.2500
Pm 0.7500 0.7500 0.7500
Zn 0.5000 0.5000 0.5000

Calculated values
Space group: Fm-3m

Of them, <C> has the lowest stability.

<A>
Density functional theory data (PBE) for an optimized crystal structure of Ce2PmZn.

abc: 4.5471 4.5471 5.0351
angles: 90.00 90.00 90.00
Fractional positions:
Ce 0.0000 0.5000 0.0000
Ce 0.5000 0.0000 0.0000
Pm 0.0000 0.0000 0.5000
Zn 0.5000 0.5000 0.5000

Calculated values
Space group: P4/mmm

<B>
Density functional theory data (PBE) for an optimized crystal structure of Ce2PmZn.

abc: 5.3327 5.3327 5.3327
angles: 60.00 60.00 60.00
Fractional positions:
Ce 0.2500 0.2500 0.2500
Ce 0.7500 0.7500 0.7500
Pm 0.0000 0.0000 0.0000
Zn 0.5000 0.5000 0.5000

Calculated values
Space group: Fm-3m

Of them, <B> has the lowest stability.